Density functional theory data (PBE) for Ge2AsS after structural relaxation.

a b c (Å): 4.111 4.111 7.583
angles (deg): 74.27 74.27 60.00
Positions (direct):
Ge  0.895  0.895  0.314
Ge  0.105  0.105  0.686
S  0.000  0.000  0.000
As  0.500  0.500  0.500

Properties
Mass density ... 4.0 g/cm³
Polymorph energy (0 for the lowest one) ... 180.2 meV per atom
D(E_F) ... 1.22 states/eV/cell
Spin magnetization ... 0.0 μB/f.u.
Calculated total energy ... -4.318 eV per atom
Energy relative to the elements, uncorrected ... 0.1846 eV per atom